MgNb3Zn | GGA-PBE | relaxed

Properties
* spin magnetization: 0.0 μB/f.u.
* space group: No. 221
* E_form: 1078 meV/atom
* final energy: -5.537 eV/atom
* energy above the most stable polymorph in this dataset: 0 meV per atom

Unit cell a=4.7702 b=4.7702 c=4.7702 alpha=90.00 beta=90.00 gamma=90.00
With the nearest neighbours (Å) after each atom.
Atoms (fractional coordinates):
Mg 0.0000 0.0000 0.0000  12 Nb 3.37
Nb 0.0000 0.5000 0.5000  2 Zn 2.39
Nb 0.5000 0.0000 0.5000  2 Zn 2.39
Nb 0.5000 0.5000 0.0000  2 Zn 2.39
Zn 0.5000 0.5000 0.5000  6 Nb 2.39

---

Mg3NbZn | GGA-PBE | relaxed

Properties
* spin magnetization: 4.4 μB/f.u.
* space group: No. 221
* E_form: 1180 meV/atom
* final energy: -2.045 eV/atom
* energy above the most stable polymorph in this dataset: 432 meV per atom

Unit cell a=5.5511 b=5.5511 c=5.5511 alpha=90.00 beta=90.00 gamma=90.00
With the nearest neighbours (Å) after each atom.
Atoms (fractional coordinates):
Mg 0.0000 0.0000 0.5000  2 Nb 2.78
Mg 0.0000 0.5000 0.0000  2 Nb 2.78
Mg 0.5000 0.0000 0.0000  2 Nb 2.78
Nb 0.0000 0.0000 0.0000  6 Mg 2.78
Zn 0.5000 0.5000 0.5000  12 Mg 3.93

---

MgNbZn3 | GGA-PBE | relaxed

Properties
* spin magnetization: 0.0 μB/f.u.
* space group: No. 221
* E_form: 899 meV/atom
* final energy: -2.198 eV/atom
* energy above the most stable polymorph in this dataset: 0 meV per atom

Unit cell a=5.0139 b=5.0139 c=5.0139 alpha=90.00 beta=90.00 gamma=90.00
With the nearest neighbours (Å) after each atom.
Atoms (fractional coordinates):
Mg 0.0000 0.0000 0.0000  12 Zn 3.55
Nb 0.5000 0.5000 0.5000  6 Zn 2.51
Zn 0.0000 0.5000 0.5000  2 Nb 2.51
Zn 0.5000 0.0000 0.5000  2 Nb 2.51
Zn 0.5000 0.5000 0.0000  2 Nb 2.51

---

MgZr2Nb | GGA-PBE | relaxed

Properties
* spin magnetization: 0.0 μB/f.u.
* space group: No. 12
* E_form: 44 meV/atom
* final energy: -7.146 eV/atom

Unit cell a=4.7627 b=3.7559 c=9.8043 alpha=90.00 beta=94.88 gamma=90.00
With the nearest neighbours (Å) after each atom.
Atoms (fractional coordinates):
Mg 0.0000 0.0000 0.0000  4 Mg 3.03, 4 Zr 3.24
Mg 0.5000 0.5000 0.0000  4 Mg 3.03, 4 Zr 3.24
Zr 0.0345 0.5000 0.2704  3 Nb 2.95-3.02, 4 Zr 3.03, 2 Mg 3.24
Zr 0.4655 0.0000 0.7296  3 Nb 2.95-3.02, 4 Zr 3.03, 2 Mg 3.24
Zr 0.5345 0.0000 0.2704  3 Nb 2.95-3.02, 4 Zr 3.03, 2 Mg 3.24
Zr 0.9655 0.5000 0.7296  3 Nb 2.95-3.02, 4 Zr 3.03, 2 Mg 3.24
Nb 0.0000 0.0000 0.5000  6 Zr 2.95-3.02, 4 Nb 3.03
Nb 0.5000 0.5000 0.5000  6 Zr 2.95-3.02, 4 Nb 3.03

---

Mg2Zr4Nb | GGA-PBE | relaxed

Properties
* spin magnetization: 0.0 μB/f.u.
* space group: No. 65
* E_form: 100 meV/atom
* final energy: -6.678 eV/atom

Unit cell a=3.1085 b=33.2670 c=3.1084 alpha=90.00 beta=90.00 gamma=90.00
With the nearest neighbours (Å) after each atom.
Atoms (fractional coordinates):
Mg 0.0000 0.2081 0.0000  6 Mg 3.11-3.19, 4 Zr 3.31
Mg 0.0000 0.7919 0.0000  6 Mg 3.11-3.19, 4 Zr 3.31
Mg 0.5000 0.2919 0.0000  6 Mg 3.11-3.19, 4 Zr 3.31
Mg 0.5000 0.7081 0.0000  6 Mg 3.11-3.19, 4 Zr 3.31
Zr 0.0000 0.0651 0.0000  4 Nb 3.09, 8 Zr 3.11-3.17
Zr 0.0000 0.3661 0.5000  8 Zr 3.11-3.17, 4 Mg 3.31
Zr 0.0000 0.6339 0.5000  8 Zr 3.11-3.17, 4 Mg 3.31
Zr 0.0000 0.9349 0.0000  4 Nb 3.09, 8 Zr 3.11-3.17
Zr 0.5000 0.1339 0.5000  8 Zr 3.11-3.17, 4 Mg 3.31
Zr 0.5000 0.4349 0.0000  4 Nb 3.09, 8 Zr 3.11-3.17
Zr 0.5000 0.5651 0.0000  4 Nb 3.09, 8 Zr 3.11-3.17
Zr 0.5000 0.8661 0.5000  8 Zr 3.11-3.17, 4 Mg 3.31
Nb 0.0000 0.5000 0.5000  8 Zr 3.09, 4 Nb 3.11
Nb 0.5000 0.0000 0.5000  8 Zr 3.09, 4 Nb 3.11

---

Mg3ZrNb | GGA-PBE | relaxed

Properties
* spin magnetization: 1.8 μB/f.u.
* space group: No. 221
* E_form: 1223 meV/atom
* final energy: -3.458 eV/atom

Unit cell a=5.0801 b=5.0801 c=5.0801 alpha=90.00 beta=90.00 gamma=90.00
With the nearest neighbours (Å) after each atom.
Atoms (fractional coordinates):
Mg 0.0000 0.0000 0.5000  2 Nb 2.54
Mg 0.0000 0.5000 0.0000  2 Nb 2.54
Mg 0.5000 0.0000 0.0000  2 Nb 2.54
Zr 0.5000 0.5000 0.5000  12 Mg 3.59
Nb 0.0000 0.0000 0.0000  6 Mg 2.54

---

Which of these has the highest E_form?
Mg3ZrNb

---

What is the formula in the third record?
MgNbZn3